*a*
NaBeAg PBE-GGA relaxed; D(E_F) = 0.7 states/eV/f.u.; space group = P1 (1); spin magnetization = 0.0000 μB per atom
1.0
4.656 -0.027 -0.035
0.838 4.581 -0.046
1.278 1.134 5.264
Na Ag Be
2 2 2
direct
0.282 0.528 0.153
0.785 0.026 0.154
0.863 0.599 0.672
0.465 0.201 0.669
0.355 0.730 0.627
0.993 0.091 0.629

=====

*b*
NaBeAg PBE-GGA relaxed; D(E_F) = 0.7 states/eV/f.u.; space group = P1 (1); spin magnetization = 0.0000 μB per atom
1.0
3.048 0.000 -0.033
-0.001 3.462 -0.009
-1.542 -1.724 5.379
Na Ag Be
1 1 1
direct
0.969 0.902 0.437
0.693 0.623 0.880
0.246 0.174 0.981

=====

*c*
NaBeAg PBE-GGA relaxed; D(E_F) = 0.9 states/eV/f.u.; space group = P2_1/m (11); spin magnetization = 0.0000 μB per atom
1.0
-4.260 -2.802 -2.124
2.474 -2.921 -1.107
0.762 -1.390 5.366
Na Ag Be
2 2 2
direct
0.251 0.250 0.998
0.749 0.750 0.002
0.682 0.250 0.529
0.318 0.750 0.471
0.084 0.250 0.467
0.916 0.750 0.533

=====

Which is most stable? The ranking, best first, is *a*, *c*, *b*.